[1]
MgSi2Ni2 after structural relaxation. Source: the Alexandria database, functional PBE.

**Formation energy (no corrections)**: -0.267 eV per atom
**SG**: P4/mbm, No. 127

Unit cell a=6.9890 b=6.9890 c=2.6525 alpha=90.00 beta=90.00 gamma=90.00
With the nearest neighbours (Å) after each atom.
Sites, in units of the cell vectors:
Mg: 0.0000 0.0000 0.0000  2 Mg 2.65, 4 Si 2.75, 8 Ni 2.92
Si: 0.8726 0.6274 0.0000  6 Ni 2.41-2.48, 3 Si 2.52-2.65
Si: 0.6274 0.1274 0.0000  6 Ni 2.41-2.48, 3 Si 2.52-2.65
Ni: 0.8309 0.3309 0.5000  6 Si 2.41-2.48, 2 Ni 2.65
Ni: 0.6691 0.8309 0.5000  6 Si 2.41-2.48, 2 Ni 2.65
Si: 0.1274 0.3726 0.0000  6 Ni 2.41-2.48, 3 Si 2.52-2.65
Mg: 0.5000 0.5000 0.0000  2 Mg 2.65, 4 Si 2.75, 8 Ni 2.92
Si: 0.3726 0.8726 0.0000  6 Ni 2.41-2.48, 3 Si 2.52-2.65
Ni: 0.3309 0.1691 0.5000  6 Si 2.41-2.48, 2 Ni 2.65
Ni: 0.1691 0.6691 0.5000  6 Si 2.41-2.48, 2 Ni 2.65

---

[2]
CaRe2Tc after structural relaxation. Source: the Alexandria database, functional PBE.

**E above lowest polymorph**: 493 meV per atom
**Calculated formation energy**: 369 kJ/mol of formula units
**SG**: I-42d, No. 122

Unit cell a=7.5480 b=7.5480 c=5.9904 alpha=50.95 beta=50.95 gamma=90.00
With the nearest neighbours (Å) after each atom.
Sites, in units of the cell vectors:
Re: 0.3750 0.3167 0.7500  2 Tc 2.47
Tc: 0.7500 0.2500 0.5000  4 Re 2.47, 2 Ca 2.72
Re: 0.0667 0.6250 0.2500  2 Tc 2.47
Ca: 0.5000 0.5000 0.0000  2 Tc 2.72
Ca: 0.2500 0.7500 0.5000  2 Tc 2.72
Tc: 0.0000 0.0000 0.0000  4 Re 2.47, 2 Ca 2.72
Re: 0.8750 0.9333 0.7500  2 Tc 2.47
Re: 0.6833 0.1250 0.2500  2 Tc 2.47

---

[3]
LiAcGa2Hg4 after structural relaxation. Source: the Alexandria database, functional PBE.

**Calculated formation energy**: -222 kJ/mol of formula units
**SG**: R-3m, No. 166

Unit cell a=4.9594 b=4.9594 c=9.2597 alpha=74.47 beta=74.47 gamma=60.00
With the nearest neighbours (Å) after each atom.
Sites, in units of the cell vectors:
Ga: 0.7488 0.7488 0.7537  7 Hg 2.91-3.21
Hg: 0.1373 0.1373 0.5880  3 Li 2.97, 4 Ga 3.01-3.21, 3 Hg 3.26
Ga: 0.2512 0.2512 0.2463  7 Hg 2.91-3.21
Ac: 0.0000 0.0000 0.0000  8 Hg 3.31-3.63, 6 Ga 3.59
Hg: 0.3959 0.3959 0.8122  1 Li 2.75, 3 Ga 2.91
Hg: 0.6041 0.6041 0.1878  1 Li 2.75, 3 Ga 2.91
Hg: 0.8627 0.8627 0.4120  3 Li 2.97, 4 Ga 3.01-3.21, 3 Hg 3.26
Li: 0.5000 0.5000 0.5000  8 Hg 2.75-2.97

---

[4]
Sr2SbOs after structural relaxation. Source: the Alexandria database, functional PBE.

**Formation energy (no corrections)**: 0.037 eV per atom
**SG**: Imm2, No. 44

Unit cell a=6.8838 b=6.8838 c=5.2556 alpha=67.57 beta=67.57 gamma=30.69
With the nearest neighbours (Å) after each atom.
Sites, in units of the cell vectors:
Sr: 0.2059 0.2059 0.2941  2 Os 3.35, 4 Sb 3.48, 4 Sr 3.62-3.64
Sb: 0.8180 0.8180 0.6820  2 Os 2.64
Os: 0.4749 0.4749 0.5251  2 Sb 2.64
Sr: 0.0012 0.0012 0.9988  4 Os 3.21, 2 Sb 3.45

---

What total energy values result from the calculations? In sequence: -5.068; -8.360; -1.948; -4.642 eV per atom.